Record 1
This record from the Alexandria database describes crystalline ZrBeTl2 at its relaxed geometry. The functional is PBE.

ΔE_f = 0.358 eV per atom
total magnetization = 0.0 μB per formula unit
volume = 21.2 A^3/atom
N(E_F) = 2.1 states/eV per cell
offset from the most stable computed form = 0.45 eV/f.u.

Geometry as CIF:
```
data_ZrBeTl2
_chemical_formula_sum 'Zr1 Be1 Tl2'
_cell_length_a 3.277
_cell_length_b 4.335
_cell_length_c 6.001
_cell_angle_alpha 90.00
_cell_angle_beta 95.69
_cell_angle_gamma 90.00
_symmetry_space_group_name_H-M 'P 1 2/m 1'
_symmetry_Int_Tables_number 10
_symmetry_space_group_name_Hall '-P 2y'
loop_
_atom_site_label
_atom_site_fract_x
_atom_site_fract_y
_atom_site_fract_z
Zr1 0.000 0.000 0.000
Be1 0.500 0.000 0.500
Tl1 0.377 0.500 0.735
```

***

Record 2
This record from the Alexandria database describes crystalline Zr2BeTl at its relaxed geometry. The functional is PBE.

ΔE_f = 0.227 eV per atom
total magnetization = 0.0 μB per formula unit
volume = 21.0 A^3/atom
N(E_F) = 6.6 states/eV per cell
offset from the most stable computed form = 1.11 eV/f.u.

Geometry as CIF:
```
data_Zr2BeTl
_chemical_formula_sum 'Zr4 Be2 Tl2'
_cell_length_a 9.308
_cell_length_b 3.364
_cell_length_c 5.611
_cell_angle_alpha 90.00
_cell_angle_beta 106.96
_cell_angle_gamma 90.00
_symmetry_space_group_name_H-M 'C 1 2/m 1'
_symmetry_Int_Tables_number 12
_symmetry_space_group_name_Hall '-C 2y'
loop_
_atom_site_label
_atom_site_fract_x
_atom_site_fract_y
_atom_site_fract_z
Zr1 0.230 0.000 0.215
Be1 0.000 0.500 0.000
Tl1 0.000 0.000 0.500
```

***

Record 3
This record from the Alexandria database describes crystalline Zr2Be2Tl at its relaxed geometry. The functional is PBE.

ΔE_f = -0.223 eV per atom
total magnetization = 0.0 μB per formula unit
volume = 17.2 A^3/atom
N(E_F) = 4.5 states/eV per cell
offset from the most stable computed form = 0.00 eV/f.u.

Geometry as CIF:
```
data_Zr2Be2Tl
_chemical_formula_sum 'Zr4 Be4 Tl2'
_cell_length_a 3.616
_cell_length_b 12.628
_cell_length_c 3.771
_cell_angle_alpha 90.00
_cell_angle_beta 90.00
_cell_angle_gamma 90.00
_symmetry_space_group_name_H-M 'C m m m'
_symmetry_Int_Tables_number 65
_symmetry_space_group_name_Hall '-C 2 2'
loop_
_atom_site_label
_atom_site_fract_x
_atom_site_fract_y
_atom_site_fract_z
Zr1 0.000 0.145 0.000
Be1 0.000 0.294 0.500
Tl1 0.000 0.500 0.500
```

***

Record 4
This record from the Alexandria database describes crystalline ZrBeTl2 at its relaxed geometry. The functional is PBE.

ΔE_f = 0.595 eV per atom
total magnetization = 0.0 μB per formula unit
volume = 21.7 A^3/atom
N(E_F) = 14.0 states/eV per cell
offset from the most stable computed form = 1.40 eV/f.u.

Geometry as CIF:
```
data_ZrBeTl2
_chemical_formula_sum 'Zr4 Be4 Tl8'
_cell_length_a 7.025
_cell_length_b 7.025
_cell_length_c 7.025
_cell_angle_alpha 90.00
_cell_angle_beta 90.00
_cell_angle_gamma 90.00
_symmetry_space_group_name_H-M 'F m -3 m'
_symmetry_Int_Tables_number 225
_symmetry_space_group_name_Hall '-F 4 2 3'
loop_
_atom_site_label
_atom_site_fract_x
_atom_site_fract_y
_atom_site_fract_z
Zr1 0.000 0.000 0.000
Be1 0.000 0.000 0.500
Tl1 0.250 0.250 0.250
```